Crystalline AcNiC2O8 at its relaxed geometry, computed with GGA+U.

It has space group P-3m1 (No. 164), with a = 4.8543 Å, b = 4.8543 Å, c = 7.2712 Å, α = 90.00°, β = 90.00° and γ = 120.00°. The inequivalent atoms are Ac at (0.0000, 0.0000, 0.0000), Ni at (0.0000, 0.0000, 0.5000), C at (0.3333, 0.6667, 0.2495), O at (0.1784, 0.3568, 0.3075) and O at (0.3333, 0.6667, 0.0549).

The crystal system is trigonal. For the total magnetization, the calculation gives 5.019 μB per formula unit. For the density of states at the Fermi level, the calculation gives 0.58 states/eV per atom. The value obtained for the total DFT energy (no corrections) is -80.60 eV/f.u.